A plane-wave DFT calculation with PBEsol was carried out for an optimized crystal structure of BaHfTa2Tc.

As for the formation energy: 2424 meV/atom. The density of states at the Fermi level comes out at 1.150 states/eV/atom.

a b c (Å): 4.930 4.930 5.611
angles (deg): 90.00 90.00 90.00
Space group P4/mmm (No. 123)
Symmetry-distinct sites (fractional):
Ba (0.000, 0.000, 0.000) [1 per cell]
Hf (0.000, 0.000, 0.500) [1 per cell]
Ta (0.000, 0.500, 0.500) [2 per cell]
Tc (0.500, 0.500, 0.000) [1 per cell]